Entry from the Alexandria database: a relaxed SmEr5Al3 crystal (PBE).

SG: P6_3/mcm, No. 193
DFT total energy: -82.316 eV/cell
energy of formation: -0.266 eV/atom

abc: 9.044 9.044 6.609
angles: 90.00 90.00 120.00
Sites, in units of the cell vectors:
Sm 0.000 0.000 0.000
Sm 0.000 0.000 0.500
Er 0.000 0.333 0.250
Er 0.000 0.667 0.750
Er 0.333 0.000 0.250
Er 0.333 0.333 0.750
Er 0.333 0.667 0.000
Er 0.333 0.667 0.500
Er 0.667 0.000 0.750
Er 0.667 0.333 0.000
Er 0.667 0.333 0.500
Er 0.667 0.667 0.250
Al 0.000 0.338 0.750
Al 0.000 0.662 0.250
Al 0.338 0.000 0.750
Al 0.338 0.338 0.250
Al 0.662 0.000 0.250
Al 0.662 0.662 0.750

Entry from the Alexandria database: a relaxed Ba2HF3 crystal (PBE).

SG: Ibam, No. 72
DFT total energy: -61.274 eV/cell

abc: 7.937 7.937 7.937
angles: 137.18 61.36 138.22
Sites, in units of the cell vectors:
Ba 0.121 0.245 0.366
Ba 0.379 0.745 0.125
Ba 0.621 0.255 0.875
Ba 0.879 0.755 0.634
H 0.250 0.250 0.000
H 0.750 0.750 0.000
F 0.183 0.772 0.955
F 0.250 0.750 0.500
F 0.317 0.272 0.589
F 0.683 0.728 0.411
F 0.750 0.250 0.500
F 0.817 0.228 0.045

Entry from the Alexandria database: a relaxed AlCrTeN2 crystal (PBE).

SG: P4/mmm, No. 123
DFT total energy: -30.442 eV/cell
relative energy among the computed polymorphs: 0 meV/atom

abc: 3.768 3.768 5.499
angles: 90.00 90.00 90.00
Sites, in units of the cell vectors:
Al 0.000 0.000 0.000
Cr 0.500 0.500 0.500
Te 0.500 0.500 0.000
N 0.000 0.500 0.500
N 0.500 0.000 0.500

Entry from the Alexandria database: a relaxed MgOsF3 crystal (PBE).

SG: Pm-3m, No. 221
DFT total energy: -21.770 eV/cell
relative energy among the computed polymorphs: 501 meV/atom

abc: 4.239 4.239 4.239
angles: 90.00 90.00 90.00
Sites, in units of the cell vectors:
Mg 0.000 0.000 0.000
Os 0.500 0.500 0.500
F 0.000 0.500 0.500
F 0.500 0.000 0.500
F 0.500 0.500 0.000

Entry from the Alexandria database: a relaxed ThCo5P2 crystal (PBE).

SG: Immm, No. 71
DFT total energy: -118.249 eV/cell
energy of formation: -0.669 eV/atom

abc: 3.653 6.363 8.964
angles: 90.00 90.00 90.00
Sites, in units of the cell vectors:
Th 0.000 0.000 0.000
Th 0.500 0.500 0.500
Co 0.000 0.192 0.350
Co 0.000 0.192 0.650
Co 0.000 0.500 0.000
Co 0.000 0.808 0.350
Co 0.000 0.808 0.650
Co 0.500 0.000 0.500
Co 0.500 0.308 0.150
Co 0.500 0.308 0.850
Co 0.500 0.692 0.150
Co 0.500 0.692 0.850
P 0.000 0.500 0.238
P 0.000 0.500 0.762
P 0.500 0.000 0.262
P 0.500 0.000 0.738

Entry from the Alexandria database: a relaxed Tb6Ir2AuSe3 crystal (PBE).

SG: C2/m, No. 12
DFT total energy: -74.482 eV/cell

abc: 7.005 7.005 7.475
angles: 98.98 98.98 119.92
Sites, in units of the cell vectors:
Tb 0.067 0.422 0.769
Tb 0.221 0.221 0.228
Tb 0.422 0.067 0.769
Tb 0.578 0.933 0.231
Tb 0.779 0.779 0.772
Tb 0.933 0.578 0.231
Ir 0.168 0.832 0.000
Ir 0.832 0.168 0.000
Au 0.500 0.500 0.000
Se 0.000 0.000 0.500
Se 0.339 0.661 0.500
Se 0.661 0.339 0.500